DFT (PBE) results for a geometry-optimized Mn3TcPd structure.

Properties
The formation energy is 5.807 eV/f.u. The energy above the most stable polymorph in this dataset is 0 meV/atom. Its space group is Pm-3m, No. 221.

Geometry as POSCAR:
```
Mn3TcPd
1.0
4.530 0.000 0.000
0.000 4.530 0.000
0.000 0.000 4.530
Mn Tc Pd
3 1 1
Direct
0.000 0.000 0.500 Mn
0.000 0.500 0.000 Mn
0.500 0.000 0.000 Mn
0.000 0.000 0.000 Tc
0.500 0.500 0.500 Pd
```

DFT (PBE) results for a geometry-optimized Mn2Tc2Pd structure.

Properties
The formation energy is 0.537 eV/f.u. Its space group is P4/mbm, No. 127.

Geometry as POSCAR:
```
Mn2Tc2Pd
1.0
6.985 0.000 0.000
0.000 6.985 0.000
0.000 0.000 2.758
Mn Tc Pd
4 4 2
Direct
0.133 0.367 0.000 Mn
0.367 0.867 0.000 Mn
0.633 0.133 0.000 Mn
0.867 0.633 0.000 Mn
0.164 0.664 0.500 Tc
0.336 0.164 0.500 Tc
0.664 0.836 0.500 Tc
0.836 0.336 0.500 Tc
0.000 0.000 0.000 Pd
0.500 0.500 0.000 Pd
```

DFT (PBE) results for a geometry-optimized TiMnTcPd structure.

Properties
The formation energy is -0.900 eV/f.u. Its space group is F-43m, No. 216.

Geometry as POSCAR:
```
TiMnTcPd
1.0
6.177 0.000 0.000
0.000 6.177 0.000
0.000 0.000 6.177
Ti Mn Tc Pd
4 4 4 4
Direct
0.000 0.000 0.000 Ti
0.000 0.500 0.500 Ti
0.500 0.000 0.500 Ti
0.500 0.500 0.000 Ti
0.000 0.000 0.500 Mn
0.000 0.500 0.000 Mn
0.500 0.000 0.000 Mn
0.500 0.500 0.500 Mn
0.250 0.250 0.250 Tc
0.250 0.750 0.750 Tc
0.750 0.250 0.750 Tc
0.750 0.750 0.250 Tc
0.250 0.250 0.750 Pd
0.250 0.750 0.250 Pd
0.750 0.250 0.250 Pd
0.750 0.750 0.750 Pd
```

DFT (PBE) results for a geometry-optimized MnVTcPd structure.

Properties
The formation energy is -0.140 eV/f.u. Its space group is F-43m, No. 216.

Geometry as POSCAR:
```
MnVTcPd
1.0
6.103 0.000 0.000
0.000 6.103 0.000
0.000 0.000 6.103
Mn V Tc Pd
4 4 4 4
Direct
0.000 0.000 0.000 Mn
0.000 0.500 0.500 Mn
0.500 0.000 0.500 Mn
0.500 0.500 0.000 Mn
0.000 0.000 0.500 V
0.000 0.500 0.000 V
0.500 0.000 0.000 V
0.500 0.500 0.500 V
0.250 0.250 0.750 Tc
0.250 0.750 0.250 Tc
0.750 0.250 0.250 Tc
0.750 0.750 0.750 Tc
0.250 0.250 0.250 Pd
0.250 0.750 0.750 Pd
0.750 0.250 0.750 Pd
0.750 0.750 0.250 Pd
```

DFT (PBE) results for a geometry-optimized MnTe2Pd7 structure.

Properties
The energy above the most stable polymorph in this dataset is 189 meV/atom. Its space group is Cmmm, No. 65.

Geometry as POSCAR:
```
MnTe2Pd7
1.0
3.762 -7.497 0.000
3.762 7.497 0.000
0.000 0.000 3.533
Mn Te Pd
1 2 7
Direct
0.000 0.000 0.000 Mn
0.325 0.675 0.500 Te
0.675 0.325 0.500 Te
0.093 0.281 0.500 Pd
0.201 0.799 0.000 Pd
0.281 0.093 0.500 Pd
0.500 0.500 0.500 Pd
0.719 0.907 0.500 Pd
0.799 0.201 0.000 Pd
0.907 0.719 0.500 Pd
```

DFT (PBE) results for a geometry-optimized MnTe2Pd structure.

Properties
Its space group is I-42d, No. 122. The total energy is -5.0419 eV per atom.

Geometry as POSCAR:
```
MnTe2Pd
1.0
6.010 0.000 0.000
0.000 6.010 0.000
0.000 0.000 11.368
Mn Te Pd
4 8 4
Direct
0.000 0.000 0.000 Mn
0.000 0.500 0.250 Mn
0.500 0.000 0.750 Mn
0.500 0.500 0.500 Mn
0.223 0.250 0.125 Te
0.250 0.723 0.375 Te
0.250 0.777 0.875 Te
0.277 0.250 0.625 Te
0.723 0.750 0.625 Te
0.750 0.223 0.875 Te
0.750 0.277 0.375 Te
0.777 0.750 0.125 Te
0.000 0.000 0.500 Pd
0.000 0.500 0.750 Pd
0.500 0.000 0.250 Pd
0.500 0.500 0.000 Pd
```

DFT (PBE) results for a geometry-optimized Mn2TePd9 structure.

Properties
Its space group is P4/mmm, No. 123. The total energy is -5.9029 eV per atom.

Geometry as POSCAR:
```
Mn2TePd9
1.0
3.977 0.000 0.000
0.000 3.977 0.000
0.000 0.000 11.940
Mn Te Pd
2 1 9
Direct
0.000 0.000 0.159 Mn
0.000 0.000 0.841 Mn
0.000 0.000 0.500 Te
0.000 0.500 0.000 Pd
0.000 0.500 0.325 Pd
0.000 0.500 0.675 Pd
0.500 0.000 0.000 Pd
0.500 0.000 0.325 Pd
0.500 0.000 0.675 Pd
0.500 0.500 0.163 Pd
0.500 0.500 0.500 Pd
0.500 0.500 0.837 Pd
```

DFT (PBE) results for a geometry-optimized MnTe6Pd2 structure.

Properties
Its space group is C2/m, No. 12. The total energy is -4.5113 eV per atom.

Geometry as POSCAR:
```
MnTe6Pd2
1.0
5.974 -2.042 0.000
5.974 2.042 0.000
-5.853 0.000 10.339
Mn Te Pd
1 6 2
Direct
0.000 0.000 0.000 Mn
0.005 0.005 0.779 Te
0.329 0.329 0.896 Te
0.339 0.339 0.446 Te
0.661 0.661 0.554 Te
0.671 0.671 0.104 Te
0.995 0.995 0.221 Te
0.332 0.332 0.669 Pd
0.668 0.668 0.331 Pd
```

DFT (PBE) results for a geometry-optimized MnTe2Pd structure.

Properties
Its space group is P2_1/c, No. 14. The total energy is -5.3821 eV per atom.

Geometry as POSCAR:
```
MnTe2Pd
1.0
8.353 0.000 0.000
0.000 6.247 0.000
-3.775 0.000 7.479
Mn Te Pd
4 8 4
Direct
0.040 0.032 0.315 Mn
0.040 0.468 0.815 Mn
0.960 0.532 0.185 Mn
0.960 0.968 0.685 Mn
0.216 0.229 0.658 Te
0.216 0.271 0.158 Te
0.325 0.735 0.903 Te
0.325 0.765 0.403 Te
0.675 0.235 0.597 Te
0.675 0.265 0.097 Te
0.784 0.729 0.842 Te
0.784 0.771 0.342 Te
0.125 0.664 0.559 Pd
0.125 0.836 0.059 Pd
0.875 0.164 0.941 Pd
0.875 0.336 0.441 Pd
```

DFT (PBE) results for a geometry-optimized MnTePd3 structure.

Properties
The energy above the most stable polymorph in this dataset is 687 meV/atom. Its space group is Pm-3m, No. 221.

Geometry as POSCAR:
```
MnTePd3
1.0
4.922 0.000 0.000
0.000 4.922 0.000
0.000 0.000 4.922
Mn Te Pd
1 1 3
Direct
0.000 0.000 0.000 Mn
0.500 0.500 0.500 Te
0.000 0.500 0.500 Pd
0.500 0.000 0.500 Pd
0.500 0.500 0.000 Pd
```

DFT (PBE) results for a geometry-optimized MnTePd2 structure.

Properties
Its space group is P4/mmm, No. 123. The total energy is -5.8504 eV per atom.

Geometry as POSCAR:
```
MnTePd2
1.0
4.196 0.000 0.000
0.000 4.196 0.000
0.000 0.000 3.945
Mn Te Pd
1 1 2
Direct
0.000 0.000 0.000 Mn
0.500 0.500 0.000 Te
0.000 0.500 0.500 Pd
0.500 0.000 0.500 Pd
```

DFT (PBE) results for a geometry-optimized Mn3Te8Pd2 structure.

Properties
Its space group is C2/m, No. 12. The total energy is -5.0406 eV per atom.

Geometry as POSCAR:
```
Mn3Te8Pd2
1.0
6.976 -3.867 0.000
6.976 3.867 0.000
-2.040 0.000 6.313
Mn Te Pd
3 8 2
Direct
0.000 0.000 0.000 Mn
0.253 0.747 0.500 Mn
0.747 0.253 0.500 Mn
0.118 0.118 0.729 Te
0.119 0.634 0.737 Te
0.366 0.881 0.263 Te
0.387 0.387 0.259 Te
0.613 0.613 0.741 Te
0.634 0.119 0.737 Te
0.881 0.366 0.263 Te
0.882 0.882 0.271 Te
0.255 0.255 0.493 Pd
0.745 0.745 0.507 Pd
```

> Which formula does entry 6 have?

MnTe2Pd